[1]
! Mn6Pt5Rh PBE relaxed; values from VASP
! **DOS at the Fermi energy**: 4.00 states/eV per cell
! **ΔE_f**: -0.325 eV per atom
! **Calculated total energy**: -0.59091 Ry/atom
! **Crystal system**: monoclinic
! **Space group**: C2/m (12)
&SYSTEM
  ibrav = 0, nat = 12, ntyp = 3
/
ATOMIC_SPECIES
Mn 54.94 Mn.upf
Rh 102.91 Rh.upf
Pt 195.08 Pt.upf
CELL_PARAMETERS angstrom
-4.0736 1.1204 -0.5157
-1.9243 -5.8142 2.5672
-3.0358 0.2426 6.8625
ATOMIC_POSITIONS angstrom
Mn -5.5329 -2.3954 3.3486
Mn -4.5622 0.5374 2.0530
Mn -3.4886 -3.8256 1.6792
Mn -5.5451 -0.6255 7.2348
Mn -4.4715 -4.9885 6.8610
Mn -3.5007 -2.0557 5.5654
Rh 0.0000 0.0000 0.0000
Pt -5.0604 -0.0634 4.6514
Pt -3.0108 -1.4866 2.9643
Pt -0.9621 -2.9071 1.2836
Pt -6.0228 -2.9645 5.9497
Pt -3.9732 -4.3877 4.2626

=====

[2]
! MgMo4 PBE relaxed; values from VASP
! **DOS at the Fermi energy**: 5.53 states/eV per cell
! **ΔE_f**: 2.189 eV per atom
! **Calculated total energy**: -0.49939 Ry/atom
! **Energy above the lowest structure with this stoichiometry**: 2.0304 eV/atom
! **Crystal system**: cubic
! **Space group**: Pm-3m (221)
&SYSTEM
  ibrav = 0, nat = 5, ntyp = 2
/
ATOMIC_SPECIES
Mg 24.30 Mg.upf
Mo 95.94 Mo.upf
CELL_PARAMETERS angstrom
4.5006 0.0000 0.0000
0.0000 4.5006 0.0000
0.0000 0.0000 4.5006
ATOMIC_POSITIONS angstrom
Mg 2.2503 2.2503 2.2503
Mo 0.0000 0.0000 0.0000
Mo 2.2503 0.0000 2.2503
Mo 0.0000 2.2503 2.2503
Mo 2.2503 2.2503 0.0000

=====

[3]
! Tm5CoCu4 PBE relaxed; values from VASP
! **DOS at the Fermi energy**: 4.40 states/eV per cell
! **ΔE_f**: -0.280 eV per atom
! **Calculated total energy**: -0.35757 Ry/atom
! **Crystal system**: tetragonal
! **Space group**: P4/mmm (123)
&SYSTEM
  ibrav = 0, nat = 10, ntyp = 3
/
ATOMIC_SPECIES
Tm 168.93 Tm.upf
Co 58.93 Co.upf
Cu 63.55 Cu.upf
CELL_PARAMETERS angstrom
3.3742 0.0000 0.0000
0.0000 3.3742 0.0000
0.0000 0.0000 17.1757
ATOMIC_POSITIONS angstrom
Tm 1.6871 1.6871 1.6140
Tm 1.6871 1.6871 5.1017
Tm 1.6871 1.6871 8.5878
Tm 1.6871 1.6871 12.0740
Tm 1.6871 1.6871 15.5617
Co 0.0000 0.0000 0.0000
Cu 0.0000 0.0000 3.3694
Cu 0.0000 0.0000 6.8624
Cu 0.0000 0.0000 10.3132
Cu 0.0000 0.0000 13.8062

=====

[4]
! LaSmTm5 PBE relaxed; values from VASP
! **DOS at the Fermi energy**: 10.07 states/eV per cell
! **ΔE_f**: 1.136 eV per atom
! **Calculated total energy**: -0.25253 Ry/atom
! **Energy above the lowest structure with this stoichiometry**: 0.9612 eV/atom
! **Crystal system**: orthorhombic
! **Space group**: Immm (71)
&SYSTEM
  ibrav = 0, nat = 7, ntyp = 3
/
ATOMIC_SPECIES
La 138.91 La.upf
Sm 150.36 Sm.upf
Tm 168.93 Tm.upf
CELL_PARAMETERS angstrom
5.7477 0.0000 0.0000
2.8738 7.2779 0.4817
2.8738 1.7754 7.0744
ATOMIC_POSITIONS angstrom
La 0.0000 0.0000 0.0000
Sm 5.7477 4.5266 3.7781
Tm 5.7477 2.7613 5.8932
Tm 5.7477 6.2920 1.6630
Tm 5.7477 2.3083 1.9266
Tm 5.7477 6.7450 5.6296
Tm 2.8738 4.5266 3.7781

=====

[5]
! InBiSCl2 PBE relaxed; values from VASP
! **DOS at the Fermi energy**: 0.55 states/eV per cell
! **Calculated total energy**: -0.25000 Ry/atom
! **Energy above the lowest structure with this stoichiometry**: 0.0000 eV/atom
! **Crystal system**: tetragonal
! **Space group**: P4/mmm (123)
! **Formation energy (no corrections)**: -2.57 eV/f.u.
&SYSTEM
  ibrav = 0, nat = 5, ntyp = 4
/
ATOMIC_SPECIES
S 32.06 S.upf
Cl 35.45 Cl.upf
Bi 208.98 Bi.upf
In 114.82 In.upf
CELL_PARAMETERS angstrom
-0.8532 3.5098 -4.1508
-4.3898 -2.9229 -1.5691
-3.1285 2.9942 3.1749
ATOMIC_POSITIONS angstrom
S -1.5642 1.4971 1.5875
Cl -2.1949 -1.4614 -0.7845
Cl -0.4266 1.7549 -2.0754
Bi 0.0000 0.0000 0.0000
In -4.1858 1.7906 -1.2725